# 1
# Pm6Pr3Er2Sc

A relaxed Pm6Pr3Er2Sc crystal (PBE, Alexandria via LeMat-Bulk).

Cell lengths 6.272, 6.272, 11.924 Å; angles 95.03, 95.03, 120.01 degrees
Element x y z (fractional)
Pm: 0.080 0.411 0.241
Pm: 0.250 0.250 0.758
Pm: 0.411 0.080 0.241
Pm: 0.589 0.920 0.759
Pm: 0.750 0.750 0.242
Pm: 0.920 0.589 0.759
Pr: 0.167 0.833 0.500
Pr: 0.500 0.500 0.500
Pr: 0.833 0.167 0.500
Er: 0.333 0.667 0.000
Er: 0.667 0.333 0.000
Sc: 0.000 0.000 0.000

Output
crystal system	monoclinic

---

# 2
# PmPr5Er2Sc

A relaxed PmPr5Er2Sc crystal (PBE, Alexandria via LeMat-Bulk).

Cell lengths 11.320, 11.320, 10.361 Å; angles 90.00, 90.00, 152.37 degrees
Element x y z (fractional)
Pm: 0.101 0.899 0.750
Pm: 0.899 0.101 0.250
Pr: 0.000 0.000 0.000
Pr: 0.000 0.000 0.500
Pr: 0.127 0.873 0.250
Pr: 0.222 0.778 0.563
Pr: 0.222 0.778 0.937
Pr: 0.498 0.502 0.750
Pr: 0.502 0.498 0.250
Pr: 0.778 0.222 0.063
Pr: 0.778 0.222 0.437
Pr: 0.873 0.127 0.750
Er: 0.384 0.616 0.003
Er: 0.384 0.616 0.497
Er: 0.616 0.384 0.503
Er: 0.616 0.384 0.997
Sc: 0.286 0.714 0.250
Sc: 0.714 0.286 0.750

Output
crystal system	orthorhombic

---

# 3
# Pm3PrErSc

A relaxed Pm3PrErSc crystal (PBE, Alexandria via LeMat-Bulk).

Cell lengths 7.949, 5.089, 10.140 Å; angles 90.00, 108.74, 90.00 degrees
Element x y z (fractional)
Pm: 0.172 0.250 0.045
Pm: 0.173 0.750 0.791
Pm: 0.178 0.250 0.542
Pm: 0.822 0.750 0.458
Pm: 0.827 0.250 0.209
Pm: 0.828 0.750 0.955
Pr: 0.176 0.750 0.297
Pr: 0.824 0.250 0.703
Er: 0.500 0.250 0.873
Er: 0.500 0.750 0.127
Sc: 0.500 0.250 0.377
Sc: 0.500 0.750 0.623

Output
crystal system	monoclinic

---

no.,energy of formation from the pure elements (kJ/mol of formula units)
1,37
2,110
3,26